A relaxed structure of BaCrFe. Source: the Alexandria database, functional PBE-GGA.

The structure belongs to space group P-6m2 (No. 187); the cell edges are 4.1030, 4.1030 and 5.3424 Å and the angles 90.00°, 90.00° and 120.00°. The asymmetric unit holds Ba at (0.0000, 0.0000, 0.0000), Cr at (0.6667, 0.3333, 0.5000) and Fe at (0.3333, 0.6667, 0.5000).

The energy of formation from the pure elements is 0.72 eV per atom. The calculation puts the total energy at -5.953 eV per atom.